--- a ---
# HoReB | OQMD | GGA-PBE | optimized geometry
data_HoReB
_chemical_formula_sum 'Ho1 Re1 B1'
_space_group_name_H-M_alt 'P 1'
_space_group_IT_number 1
_cell_length_a 4.093
_cell_length_b 4.093
_cell_length_c 4.093
_cell_angle_alpha 60.00
_cell_angle_beta 60.00
_cell_angle_gamma 60.00
loop_
_space_group_symop_operation_xyz
'x,y,z'
loop_
_atom_site_label
_atom_site_type_symbol
_atom_site_fract_x
_atom_site_fract_y
_atom_site_fract_z
B1 B 0.000 0.000 0.000
Re1 Re 0.750 0.750 0.750
Ho1 Ho 0.250 0.250 0.250
# - Volume: 48.5 Å³ per cell



--- b ---
# HoReB | OQMD | GGA-PBE | optimized geometry
data_HoReB
_chemical_formula_sum 'Ho1 Re1 B1'
_space_group_name_H-M_alt 'P 1'
_space_group_IT_number 1
_cell_length_a 4.392
_cell_length_b 4.392
_cell_length_c 4.392
_cell_angle_alpha 60.00
_cell_angle_beta 60.00
_cell_angle_gamma 60.00
loop_
_space_group_symop_operation_xyz
'x,y,z'
loop_
_atom_site_label
_atom_site_type_symbol
_atom_site_fract_x
_atom_site_fract_y
_atom_site_fract_z
Ho1 Ho 0.750 0.750 0.750
B1 B 0.000 0.000 0.000
Re1 Re 0.500 0.500 0.500
# - Volume: 59.9 Å³ per cell



Q: Which of them is the least stable? A: b.



--- a ---
# HoBSb | OQMD | GGA-PBE | optimized geometry
data_HoBSb
_chemical_formula_sum 'Ho1 B1 Sb1'
_space_group_name_H-M_alt 'P 1'
_space_group_IT_number 1
_cell_length_a 4.735
_cell_length_b 4.735
_cell_length_c 4.735
_cell_angle_alpha 60.00
_cell_angle_beta 60.00
_cell_angle_gamma 60.00
loop_
_space_group_symop_operation_xyz
'x,y,z'
loop_
_atom_site_label
_atom_site_type_symbol
_atom_site_fract_x
_atom_site_fract_y
_atom_site_fract_z
Sb1 Sb 0.250 0.250 0.250
Ho1 Ho 0.000 0.000 0.000
B1 B 0.750 0.750 0.750
# - Volume: 75.1 Å³ per cell



--- b ---
# HoBSb | OQMD | GGA-PBE | optimized geometry
data_HoBSb
_chemical_formula_sum 'Ho1 B1 Sb1'
_space_group_name_H-M_alt 'P 1'
_space_group_IT_number 1
_cell_length_a 4.456
_cell_length_b 4.456
_cell_length_c 4.456
_cell_angle_alpha 60.00
_cell_angle_beta 60.00
_cell_angle_gamma 60.00
loop_
_space_group_symop_operation_xyz
'x,y,z'
loop_
_atom_site_label
_atom_site_type_symbol
_atom_site_fract_x
_atom_site_fract_y
_atom_site_fract_z
B1 B 0.000 0.000 0.000
Ho1 Ho 0.250 0.250 0.250
Sb1 Sb 0.750 0.750 0.750
# - Volume: 62.6 Å³ per cell



Q: Which of them is the least stable? A: a.



--- a ---
# HoSiB4 | OQMD | GGA-PBE | optimized geometry
data_HoSiB4
_chemical_formula_sum 'Ho1 Si1 B4'
_space_group_name_H-M_alt 'P 1'
_space_group_IT_number 1
_cell_length_a 4.978
_cell_length_b 4.978
_cell_length_c 4.978
_cell_angle_alpha 142.94
_cell_angle_beta 119.07
_cell_angle_gamma 73.51
loop_
_space_group_symop_operation_xyz
'x,y,z'
loop_
_atom_site_label
_atom_site_type_symbol
_atom_site_fract_x
_atom_site_fract_y
_atom_site_fract_z
B1 B 0.412 0.735 0.678
B2 B 0.943 0.265 0.678
B3 B 0.057 0.735 0.322
B4 B 0.588 0.265 0.322
Ho1 Ho 0.000 0.000 0.000
Si1 Si 0.500 0.500 0.000
# - Volume: 63.7 Å³ per cell



--- b ---
# HoSiB4 | OQMD | GGA-PBE | optimized geometry
data_HoSiB4
_chemical_formula_sum 'Ho1 Si1 B4'
_space_group_name_H-M_alt 'P 1'
_space_group_IT_number 1
_cell_length_a 3.087
_cell_length_b 3.087
_cell_length_c 7.347
_cell_angle_alpha 90.00
_cell_angle_beta 90.00
_cell_angle_gamma 120.00
loop_
_space_group_symop_operation_xyz
'x,y,z'
loop_
_atom_site_label
_atom_site_type_symbol
_atom_site_fract_x
_atom_site_fract_y
_atom_site_fract_z
B1 B 0.667 0.333 0.224
B2 B 0.667 0.333 0.776
B3 B 0.333 0.667 0.776
B4 B 0.333 0.667 0.224
Si1 Si 0.000 0.000 0.000
Ho1 Ho 0.000 0.000 0.500
# - Volume: 60.6 Å³ per cell



Q: Which of them is the least stable? A: b.



--- a ---
# HoTaB | OQMD | GGA-PBE | optimized geometry
data_HoTaB
_chemical_formula_sum 'Ho1 Ta1 B1'
_space_group_name_H-M_alt 'P 1'
_space_group_IT_number 1
_cell_length_a 4.506
_cell_length_b 4.506
_cell_length_c 4.506
_cell_angle_alpha 60.00
_cell_angle_beta 60.00
_cell_angle_gamma 60.00
loop_
_space_group_symop_operation_xyz
'x,y,z'
loop_
_atom_site_label
_atom_site_type_symbol
_atom_site_fract_x
_atom_site_fract_y
_atom_site_fract_z
Ho1 Ho 0.000 0.000 0.000
Ta1 Ta 0.750 0.750 0.750
B1 B 0.250 0.250 0.250
# - Volume: 64.7 Å³ per cell



--- b ---
# HoTaB | OQMD | GGA-PBE | optimized geometry
data_HoTaB
_chemical_formula_sum 'Ho1 Ta1 B1'
_space_group_name_H-M_alt 'P 1'
_space_group_IT_number 1
_cell_length_a 4.197
_cell_length_b 4.197
_cell_length_c 4.197
_cell_angle_alpha 60.00
_cell_angle_beta 60.00
_cell_angle_gamma 60.00
loop_
_space_group_symop_operation_xyz
'x,y,z'
loop_
_atom_site_label
_atom_site_type_symbol
_atom_site_fract_x
_atom_site_fract_y
_atom_site_fract_z
B1 B 0.000 0.000 0.000
Ho1 Ho 0.250 0.250 0.250
Ta1 Ta 0.750 0.750 0.750
# - Volume: 52.3 Å³ per cell



Q: Which of them is the least stable? A: a.